Record 1
Pr2GaAs3Ir4: optimized geometry, GGA-PBE.

abc: 4.251 4.251 10.356
angles: 90.00 90.00 90.00
Space group P-4m2 (No. 115)
Inequivalent atoms, fractional coordinates:
Pr 0.000 0.500 0.247
Ga 0.500 0.500 0.000
As 0.000 0.000 0.000
As 0.000 0.500 0.637
Ir 0.000 0.000 0.500
Ir 0.000 0.500 0.871
Ir 0.500 0.500 0.500

## Properties
The value obtained for the total magnetic moment is 0.0 μB/cell. The formation energy comes out at -7.5 eV per formula unit.

Record 2
Cd2GeH2: optimized geometry, GGA-PBE.

abc: 7.288 7.288 2.896
angles: 90.00 90.00 90.00
Space group P4/mbm (No. 127)
Inequivalent atoms, fractional coordinates:
Cd 0.143 0.357 0.000
Ge 0.000 0.000 0.000
H 0.116 0.616 0.500

## Properties
The value obtained for the total magnetic moment is 0.0 μB/cell. The calculation puts the excess energy over the best structure of this formula in the dataset at 204 meV/atom.

Record 3
CrMoPt: optimized geometry, GGA-PBE.

abc: 2.680 2.680 12.089
angles: 90.00 90.00 90.00
Space group I4mm (No. 107)
Inequivalent atoms, fractional coordinates:
Cr 0.000 0.000 0.000
Mo 0.000 0.000 0.667
Pt 0.000 0.000 0.344

## Properties
The value obtained for the total magnetic moment is 1.7 μB/cell. The calculation puts the excess energy over the best structure of this formula in the dataset at 0 meV/atom. The formation energy comes out at -0.1 eV per formula unit.

Record 4
Dy8YTh2: optimized geometry, GGA-PBE.

abc: 16.712 6.595 6.622
angles: 90.00 99.65 90.00
Space group C2/m (No. 12)
Inequivalent atoms, fractional coordinates:
Dy 0.087 0.239 0.405
Dy 0.090 0.000 0.903
Dy 0.200 0.500 0.816
Y 0.000 0.500 0.000
Th 0.247 0.500 0.335

## Properties
The value obtained for the total magnetic moment is 0.0 μB/cell. The calculation puts the excess energy over the best structure of this formula in the dataset at 0 meV/atom. The formation energy comes out at 2.0 eV per formula unit.

Record 5
Be2Cr2Cd: optimized geometry, GGA-PBE.

abc: 6.400 6.400 3.050
angles: 90.00 90.00 90.00
Space group P4/mbm (No. 127)
Inequivalent atoms, fractional coordinates:
Be 0.122 0.378 0.000
Cr 0.163 0.663 0.500
Cd 0.000 0.000 0.000

## Properties
The value obtained for the total magnetic moment is 9.5 μB/cell. The formation energy comes out at 1.5 eV per formula unit.

Record 6
K2TcAg: optimized geometry, GGA-PBE.

abc: 2.807 6.220 13.035
angles: 90.00 90.00 90.00
Space group Imm2 (No. 44)
Inequivalent atoms, fractional coordinates:
K 0.000 0.000 0.000
K 0.000 0.500 0.199
Tc 0.000 0.500 0.766
Ag 0.000 0.000 0.448

## Properties
The value obtained for the total magnetic moment is 2.5 μB/cell. The calculation puts the excess energy over the best structure of this formula in the dataset at 123 meV/atom. The formation energy comes out at 3.9 eV per formula unit.

Record 7
CaMgMnAu2: optimized geometry, GGA-PBE.

abc: 4.846 4.846 5.337
angles: 90.00 90.00 90.00
Space group P4/mmm (No. 123)
Inequivalent atoms, fractional coordinates:
Ca 0.000 0.000 0.000
Mg 0.000 0.000 0.500
Mn 0.500 0.500 0.000
Au 0.000 0.500 0.500

## Properties
The value obtained for the total magnetic moment is 0.4 μB/cell. The formation energy comes out at 5.3 eV per formula unit.

Record 8
Er2Cu3Si: optimized geometry, GGA-PBE.

abc: 3.465 4.163 7.448
angles: 90.00 90.00 90.00
Space group Pmm2 (No. 25)
Inequivalent atoms, fractional coordinates:
Er 0.000 0.000 0.000
Er 0.000 0.500 0.489
Cu 0.500 0.000 0.332
Cu 0.500 0.000 0.668
Cu 0.500 0.500 0.152
Si 0.500 0.500 0.825

## Properties
The value obtained for the total magnetic moment is 0.0 μB/cell. The calculation puts the raw formation energy at -432 meV/atom.

Record 9
NbPtS2: optimized geometry, GGA-PBE.

abc: 5.571 5.571 10.621
angles: 90.00 90.00 90.00
Space group I-42d (No. 122)
Inequivalent atoms, fractional coordinates:
Nb 0.000 0.000 0.000
Pt 0.000 0.000 0.500
S 0.249 0.250 0.625

## Properties
The value obtained for the total magnetic moment is 2.3 μB/cell. The calculation puts the raw formation energy at -326 meV/atom.

Record 10
DyEr2Co9: optimized geometry, GGA-PBE.

abc: 4.9652 4.9652 24.2301
angles: 90.00 90.00 120.00
Space group R-3m (No. 166, hexagonal axes)
Inequivalent atoms, fractional coordinates:
Dy 0.0000 0.0000 0.0000
Er 0.0000 0.0000 0.1399
Co 0.0000 0.0000 0.3350
Co 0.0000 0.0000 0.5000
Co 0.0036 0.5018 0.9182

## Properties
The value obtained for the total magnetic moment is 32.3 μB/cell. The formation energy comes out at -2.4 eV per formula unit.

Record 11
LiY4Sb: optimized geometry, GGA-PBE.

abc: 9.064 9.064 9.064
angles: 90.00 90.00 90.00
Space group F-43m (No. 216)
Inequivalent atoms, fractional coordinates:
Li 0.000 0.000 0.000
Y 0.124 0.124 0.376
Sb 0.250 0.250 0.750

## Properties
The value obtained for the total magnetic moment is 0.0 μB/cell. The calculation puts the raw formation energy at 246 meV/atom.

Record 12
Nd5Ni2Os: optimized geometry, GGA-PBE.

abc: 7.261 7.261 15.108
angles: 90.00 90.00 90.00
Space group I4/mcm (No. 140)
Inequivalent atoms, fractional coordinates:
Nd 0.000 0.000 0.000
Nd 0.177 0.323 0.147
Ni 0.116 0.384 0.500
Os 0.000 0.000 0.250

## Properties
The value obtained for the total magnetic moment is 0.0 μB/cell. The formation energy comes out at -1.3 eV per formula unit.